Density functional theory data (PBE) for an optimized crystal structure of NaNp2Tl3S6.

Structure (POSCAR):
```
NaNp2Tl3S6
1.0
4.049 0.000 0.000
0.000 8.804 -0.125
-2.025 -2.981 8.986
Na Np Tl S
1 2 3 6
direct
0.500 0.000 0.000
0.833 0.674 0.665
0.167 0.326 0.335
0.500 0.500 0.000
0.845 0.168 0.690
0.155 0.832 0.310
0.330 0.877 0.660
0.680 0.543 0.360
0.670 0.123 0.340
0.026 0.247 0.051
0.974 0.753 0.949
0.320 0.457 0.640
```

Summary:
Density of states at the Fermi level   1.237 states/eV per atom
V   26.568 A^3/atom
Energy   -5.878 eV/atom
Raw formation energy   -0.96 eV/atom